<1>
VASP calculation (GGA-PBE) on a relaxed structure of Sb2TeBrO.

Structure (POSCAR):
```
Sb2TeBrO
1.0
-1.359 -4.687 2.643
5.364 -1.396 0.282
0.412 2.537 4.712
O Te Sb Br
1 1 2 1
Direct
0.500 0.500 0.500
0.000 0.000 0.500
0.000 0.500 0.000
0.500 0.000 0.000
0.000 0.000 0.000
```

Its total magnetic moment is 0.0 μB/cell. As for the density of states at the Fermi level: 10.421 states/eV/f.u.



<2>
VASP calculation (GGA-PBE) on a relaxed structure of Sb2TeBrO.

Structure (POSCAR):
```
Sb2TeBrO
1.0
5.030 0.000 0.000
0.000 5.030 0.000
0.000 0.000 4.750
O Te Sb Br
1 1 2 1
Direct
0.000 0.000 0.000
0.000 0.000 0.500
0.000 0.500 0.000
0.500 0.000 0.000
0.500 0.500 0.500
```

Its total magnetic moment is 0.0 μB/cell. As for the density of states at the Fermi level: 3.474 states/eV/f.u.



The structure with the least stability is <1>.



<1>
VASP calculation (GGA-PBE) on a relaxed structure of ScBr3O7.

Structure (POSCAR):
```
ScBr3O7
1.0
9.781 0.000 0.000
0.000 6.447 -0.002
0.000 6.312 7.246
Br Sc O
6 2 14
Direct
0.166 0.747 0.481
0.798 0.000 0.250
0.834 0.253 0.519
0.166 0.253 0.019
0.834 0.747 0.981
0.202 0.000 0.750
0.125 0.500 0.250
0.875 0.500 0.750
0.498 0.624 0.710
0.498 0.376 0.790
0.814 0.635 0.497
0.186 0.635 0.997
0.814 0.365 0.003
0.089 0.500 0.750
0.186 0.365 0.503
0.502 0.376 0.290
0.826 0.112 0.842
0.826 0.888 0.658
0.174 0.888 0.158
0.911 0.500 0.250
0.502 0.624 0.210
0.174 0.112 0.342
```

Its total magnetic moment is 5.6 μB/cell. As for the density of states at the Fermi level: 4.071 states/eV/f.u.



<2>
VASP calculation (GGA-PBE) on a relaxed structure of ScBr3O7.

Structure (POSCAR):
```
ScBr3O7
1.0
-7.256 0.243 5.874
-3.443 -1.253 -4.202
-2.165 -8.567 -2.321
O Br Sc
14 6 2
Direct
0.794 0.415 0.005
0.160 0.206 0.889
0.427 0.694 0.557
0.934 0.000 0.750
0.840 0.206 0.389
0.206 0.415 0.505
0.573 0.306 0.443
0.160 0.794 0.611
0.794 0.585 0.495
0.427 0.306 0.943
0.066 0.000 0.250
0.573 0.694 0.057
0.840 0.794 0.111
0.206 0.585 0.995
0.208 0.500 0.250
0.734 0.234 0.528
0.266 0.766 0.472
0.792 0.500 0.750
0.266 0.234 0.028
0.734 0.766 0.972
0.875 0.000 0.250
0.125 0.000 0.750
```

Its total magnetic moment is 0.1 μB/cell. As for the density of states at the Fermi level: 0.000 states/eV/f.u.



The structure with the least stability is <2>.



<1>
VASP calculation (GGA-PBE) on a relaxed structure of ScBr2O.

Structure (POSCAR):
```
ScBr2O
1.0
-7.298 -0.061 -2.343
-7.520 -0.406 1.424
-7.047 3.012 -0.140
Br O Sc
2 1 1
Direct
0.907 0.907 0.907
0.093 0.093 0.093
0.000 0.000 0.000
0.500 0.500 0.500
```

Its total magnetic moment is 0.0 μB/cell. As for the density of states at the Fermi level: 2.369 states/eV/f.u.



<2>
VASP calculation (GGA-PBE) on a relaxed structure of ScBr2O.

Structure (POSCAR):
```
ScBr2O
1.0
4.172 1.630 7.390
5.675 -1.825 6.256
7.070 1.523 4.730
Sc Br O
1 2 1
Direct
0.000 0.000 0.000
0.098 0.098 0.098
0.902 0.902 0.902
0.500 0.500 0.500
```

Its total magnetic moment is 1.7 μB/cell. As for the density of states at the Fermi level: 8.351 states/eV/f.u.



The structure with the least stability is <2>.



<1>
VASP calculation (GGA-PBE) on a relaxed structure of ScBrO2.

Structure (POSCAR):
```
ScBrO2
1.0
2.253 0.000 5.625
-1.126 1.951 5.625
-1.126 -1.951 5.625
O Br Sc
2 1 1
Direct
0.886 0.886 0.886
0.114 0.114 0.114
0.500 0.500 0.500
0.000 0.000 0.000
```

Its total magnetic moment is 0.9 μB/cell. As for the density of states at the Fermi level: 5.129 states/eV/f.u.



<2>
VASP calculation (GGA-PBE) on a relaxed structure of ScBrO2.

Structure (POSCAR):
```
ScBrO2
1.0
5.707 0.000 0.000
0.000 5.707 0.000
2.854 2.854 4.781
O Br Sc
4 2 2
Direct
0.375 0.501 0.750
0.251 0.625 0.250
0.875 0.749 0.750
0.499 0.125 0.250
0.000 0.000 0.000
0.750 0.250 0.500
0.500 0.500 0.000
0.250 0.750 0.500
```

Its total magnetic moment is 4.0 μB/cell. As for the density of states at the Fermi level: 1.001 states/eV/f.u.



The structure with the least stability is <1>.



<1>
VASP calculation (GGA-PBE) on a relaxed structure of ScBrO2.

Structure (POSCAR):
```
ScBrO2
1.0
4.143 -0.013 0.349
1.798 -1.663 3.360
2.102 -3.573 -0.321
O Sc Br
2 1 1
Direct
0.250 0.250 0.250
0.750 0.750 0.750
0.000 0.000 0.000
0.500 0.500 0.500
```

Its total magnetic moment is 0.0 μB/cell. As for the density of states at the Fermi level: 5.797 states/eV/f.u.



<2>
VASP calculation (GGA-PBE) on a relaxed structure of ScBrO2.

Structure (POSCAR):
```
ScBrO2
1.0
1.941 0.000 6.044
-0.970 1.681 6.044
-0.970 -1.681 6.044
Br O Sc
1 2 1
Direct
0.000 0.000 0.000
0.115 0.115 0.115
0.885 0.885 0.885
0.500 0.500 0.500
```

Its total magnetic moment is 0.0 μB/cell. As for the density of states at the Fermi level: 0.000 states/eV/f.u.



The structure with the least stability is <1>.



<1>
VASP calculation (GGA-PBE) on a relaxed structure of ScSe2BrO.

Structure (POSCAR):
```
ScSe2BrO
1.0
4.185 0.000 0.000
0.000 4.185 0.000
0.000 0.000 5.584
Sc Se Br O
1 2 1 1
Direct
0.500 0.500 0.500
0.000 0.500 0.000
0.500 0.000 0.000
0.000 0.000 0.500
0.000 0.000 0.000
```

Its total magnetic moment is 0.0 μB/cell. As for the density of states at the Fermi level: 2.060 states/eV/f.u.



<2>
VASP calculation (GGA-PBE) on a relaxed structure of ScSe2BrO.

Structure (POSCAR):
```
ScSe2BrO
1.0
-3.738 3.257 -1.604
-0.771 -2.962 -4.217
-3.530 -2.774 2.594
Se O Br Sc
2 1 1 1
Direct
0.500 0.000 0.000
0.000 0.500 0.000
0.500 0.500 0.500
0.000 0.000 0.500
0.000 0.000 0.000
```

Its total magnetic moment is 1.1 μB/cell. As for the density of states at the Fermi level: 8.395 states/eV/f.u.



The structure with the least stability is <2>.